[1]
Compound: KSb2TeBr
Source: the Alexandria database
Functional: PBE
Structure: optimized geometry

Output
- Total moment: 0.29 μB per atom
- N(E_F): 9.11 states/eV/f.u.
- Energy above the lowest structure with this stoichiometry: 0.6811 eV/atom
- Space-group type: P4/mmm, No. 123
- V: 225.9 Å³/cell
- Formation energy from raw total energies: 1.050 eV/atom
- VASP energy: -1.78 eV per atom

Cell lengths 6.166, 6.166, 5.940 Å; angles 90.00, 90.00, 90.00 degrees
Fractional positions:
Br  0.500  0.500  0.500
Sb  0.000  0.500  0.000
K  0.000  0.000  0.000
Sb  0.500  0.000  0.000
Te  0.000  0.000  0.500

***

[2]
Compound: Na3AgPb3O8
Source: the Alexandria database
Functional: PBE
Structure: optimized geometry

Output
- Total moment: 0.03 μB per atom
- N(E_F): 4.02 states/eV/f.u.
- Space-group type: C2/m, No. 12
- V: 225.0 Å³/cell
- Formation energy from raw total energies: -0.978 eV/atom
- VASP energy: -4.82 eV per atom

Cell lengths 6.747, 6.846, 6.819 Å; angles 119.78, 89.98, 119.54 degrees
Fractional positions:
O  0.762  0.041  0.299
O  0.253  0.507  0.713
O  0.747  0.493  0.287
O  0.238  0.959  0.701
O  0.743  0.486  0.733
O  0.278  0.041  0.299
O  0.722  0.959  0.701
Na  0.000  0.500  0.000
Ag  0.000  0.000  0.500
Na  0.000  0.000  0.000
Na  0.500  0.500  0.000
O  0.257  0.514  0.267
Pb  0.500  0.000  0.500
Pb  0.000  0.500  0.500
Pb  0.500  0.500  0.500